SiGePb2: optimized geometry, PBE.

The total DFT energy (no corrections) comes out at -4.01 eV per atom. The calculation puts the density of states at the Fermi level at 0.09 states/eV per atom. The value obtained for the energy above the most stable polymorph in this dataset is 0 meV/atom. The value obtained for the mass density is 6.67 g/cm³. The uncorrected formation energy comes out at 1.4 eV per formula unit.

abc: 6.354 6.354 7.781
angles: 65.90 65.90 90.00
Sites, in units of the cell vectors:
Ge: 0.750 0.250 0.500
Ge: 0.000 0.000 0.000
Pb: 0.375 0.383 0.750
Si: 0.250 0.750 0.500
Pb: 0.133 0.625 0.250
Si: 0.500 0.500 0.000
Pb: 0.617 0.125 0.250
Pb: 0.875 0.867 0.750